Pr2As3Pd4Pt: optimized geometry, PBE.

Lattice parameters (Å, degrees): 4.2675 4.2675 10.7896 90.00 90.00 90.00
Atoms (fractional coordinates):
Pr1 0.0000 0.5000 0.2460
Pr2 0.5000 0.0000 0.7540
As1 0.0000 0.0000 0.0000
As2 0.0000 0.5000 0.6293
As3 0.5000 0.0000 0.3707
Pd1 0.0000 0.0000 0.5000
Pd2 0.0000 0.5000 0.8523
Pd3 0.5000 0.0000 0.1477
Pd4 0.5000 0.5000 0.5000
Pt1 0.5000 0.5000 0.0000

Energy of formation from the pure elements   -0.7855 eV/atom
V   196.5 Å³/cell
Total DFT energy (no corrections)   -58.2 eV/f.u.